Tb3Pm5Mg | GGA-PBE | relaxed

Lattice parameters (Å, degrees): 9.426 9.426 9.092 114.40 114.40 76.81
Positions (direct):
Tb: 0.000 0.000 0.000
Tb: 0.000 0.000 0.500
Tb: 0.302 0.302 0.220
Tb: 0.359 0.359 0.911
Tb: 0.641 0.641 0.089
Tb: 0.698 0.698 0.780
Pm: 0.068 0.594 0.308
Pm: 0.185 0.185 0.429
Pm: 0.256 0.744 0.000
Pm: 0.406 0.932 0.692
Pm: 0.448 0.448 0.647
Pm: 0.552 0.552 0.353
Pm: 0.594 0.068 0.308
Pm: 0.744 0.256 0.000
Pm: 0.815 0.815 0.571
Pm: 0.932 0.406 0.692
Mg: 0.135 0.135 0.860
Mg: 0.865 0.865 0.140

Output
Density of states at the Fermi level (states/eV/atom): 1.4526
Total DFT energy (no corrections) (Ry/atom): -0.2800
M_tot (μB per formula unit): 0.00
ΔH_f (0 K) (eV/atom): 0.55


MnBe2S | GGA-PBE | relaxed

Lattice parameters (Å, degrees): 6.420 6.420 4.639 90.00 90.00 90.00
Positions (direct):
Mn: 0.000 0.000 0.000
Mn: 0.000 0.500 0.250
Mn: 0.500 0.000 0.750
Mn: 0.500 0.500 0.500
Be: 0.199 0.750 0.625
Be: 0.250 0.199 0.375
Be: 0.250 0.301 0.875
Be: 0.301 0.750 0.125
Be: 0.699 0.250 0.125
Be: 0.750 0.699 0.875
Be: 0.750 0.801 0.375
Be: 0.801 0.250 0.625
S: 0.000 0.000 0.500
S: 0.000 0.500 0.750
S: 0.500 0.000 0.250
S: 0.500 0.500 0.000

Output
Density of states at the Fermi level (states/eV/atom): 0.4897
Energy relative to the elements, uncorrected (eV/atom): 0.1705
Total DFT energy (no corrections) (Ry/atom): -0.3687
M_tot (μB per formula unit): 3.13